Compound: RbAlPb2S4
Source: Alexandria via LeMat-Bulk
Functional: GGA-PBE
Structure: optimized geometry

a = 8.256 Å, b = 8.270 Å, c = 8.794 Å
α = 65.11°, β = 65.31°, γ = 74.86°
Element x y z (fractional)
Rb  0.000  0.000  0.000
Rb  0.108  0.892  0.499
Al  0.530  0.001  0.833
Al  0.998  0.471  0.167
Pb  0.452  0.548  0.000
Pb  0.544  0.456  0.500
Pb  0.575  0.007  0.422
Pb  0.993  0.424  0.579
S  0.163  0.613  0.885
S  0.192  0.300  0.312
S  0.345  0.148  0.670
S  0.388  0.835  0.116
S  0.682  0.234  0.772
S  0.701  0.808  0.689
S  0.766  0.318  0.228
S  0.851  0.655  0.330

**DOS(E_F)**: 0.000 states/eV per atom
**Space group**: P1
**Raw total energy**: -70.3 eV per cell